Here is an optimized crystal structure of KFeCuF6 from the Alexandria database. Energies are from PBE+U.

Unit cell a=5.4652 b=8.9634 c=5.6998 alpha=90.00 beta=91.44 gamma=90.00
Space group C2 (No. 5)
Unique sites:
K: 0.0000 0.0000 0.0000
Fe: 0.0000 0.3431 0.5000
Cu: 0.0000 0.6779 0.5000
F: 0.1238 0.5091 0.6871
F: 0.1434 0.2060 0.7062
F: 0.1931 0.8306 0.6651

Density of states at the Fermi level = 0.1 states/eV/cell
E = -80.43 eV per cell
Size of the total moment = 4.00 μB/cell